Entry 1:
# NaPt3Rh (GGA-PBE, relaxed)
data_NaPt3Rh
_chemical_formula_sum 'Na1 Pt3 Rh1'
_cell_length_a 4.885
_cell_length_b 4.885
_cell_length_c 4.885
_cell_angle_alpha 90.00
_cell_angle_beta 90.00
_cell_angle_gamma 90.00
_space_group_name_H-M_alt 'P m -3 m'
_space_group_IT_number 221
_space_group_name_Hall '-P 4 2 3'
loop_
_atom_site_label
_atom_site_type_symbol
_atom_site_fract_x
_atom_site_fract_y
_atom_site_fract_z
_atom_site_occupancy
Na1 Na 0.000 0.000 0.000 1
Pt1 Pt 0.000 0.500 0.500 1
Rh1 Rh 0.500 0.500 0.500 1
# Calculated formation energy = 876 meV per atom
# Energy relative to the lowest polymorph listed for this composition = 0 meV per atom
# Crystal system = cubic

***

Entry 2:
# Na4PtRh3S8 (GGA-PBE, relaxed)
data_Na4PtRh3S8
_chemical_formula_sum 'Na12 Pt3 Rh9 S24'
_cell_length_a 7.3286
_cell_length_b 7.3286
_cell_length_c 18.8754
_cell_angle_alpha 90.00
_cell_angle_beta 90.00
_cell_angle_gamma 120.00
_space_group_name_H-M_alt 'R -3 m'
_space_group_IT_number 166
_space_group_name_Hall '-R 3 2"'
loop_
_atom_site_label
_atom_site_type_symbol
_atom_site_fract_x
_atom_site_fract_y
_atom_site_fract_z
_atom_site_occupancy
Na1 Na 0.0000 0.0000 0.0000 1
Na2 Na 0.0000 0.5000 0.0000 1
Pt1 Pt 0.0000 0.0000 0.5000 1
Rh1 Rh 0.0000 0.5000 0.5000 1
S1 S 0.0000 0.0000 0.2297 1
S2 S 0.0061 0.5030 0.7703 1
# Formation energy (no corrections) = -0.6906 eV/atom
# Crystal system = trigonal

***

Entry 3:
# NaScPtRh2 (GGA-PBE, relaxed)
data_NaScPtRh2
_chemical_formula_sum 'Na1 Sc1 Pt1 Rh2'
_cell_length_a 4.557
_cell_length_b 4.557
_cell_length_c 4.798
_cell_angle_alpha 90.00
_cell_angle_beta 90.00
_cell_angle_gamma 90.00
_space_group_name_H-M_alt 'P 4/m m m'
_space_group_IT_number 123
_space_group_name_Hall '-P 4 2'
loop_
_atom_site_label
_atom_site_type_symbol
_atom_site_fract_x
_atom_site_fract_y
_atom_site_fract_z
_atom_site_occupancy
Na1 Na 0.000 0.000 0.000 1
Sc1 Sc 0.000 0.000 0.500 1
Pt1 Pt 0.500 0.500 0.000 1
Rh1 Rh 0.000 0.500 0.500 1
# Calculated formation energy = 851 meV per atom
# Crystal system = tetragonal

***

Entry 4:
# Na4PtRh3Se8 (GGA-PBE, relaxed)
data_Na4PtRh3Se8
_chemical_formula_sum 'Na12 Pt3 Rh9 Se24'
_cell_length_a 7.6818
_cell_length_b 7.6818
_cell_length_c 19.9378
_cell_angle_alpha 90.00
_cell_angle_beta 90.00
_cell_angle_gamma 120.00
_space_group_name_H-M_alt 'R -3 m'
_space_group_IT_number 166
_space_group_name_Hall '-R 3 2"'
loop_
_atom_site_label
_atom_site_type_symbol
_atom_site_fract_x
_atom_site_fract_y
_atom_site_fract_z
_atom_site_occupancy
Na1 Na 0.0000 0.0000 0.0000 1
Na2 Na 0.0000 0.5000 0.0000 1
Pt1 Pt 0.0000 0.0000 0.5000 1
Rh1 Rh 0.0000 0.5000 0.5000 1
Se1 Se 0.0000 0.0000 0.2298 1
Se2 Se 0.0056 0.5028 0.7703 1
# Formation energy (no corrections) = -0.6486 eV/atom
# Crystal system = trigonal

***

Entry 5:
# NaSiPt2Rh (GGA-PBE, relaxed)
data_NaSiPt2Rh
_chemical_formula_sum 'Na1 Si1 Pt2 Rh1'
_cell_length_a 5.023
_cell_length_b 5.023
_cell_length_c 4.420
_cell_angle_alpha 90.00
_cell_angle_beta 90.00
_cell_angle_gamma 90.00
_space_group_name_H-M_alt 'P 4/m m m'
_space_group_IT_number 123
_space_group_name_Hall '-P 4 2'
loop_
_atom_site_label
_atom_site_type_symbol
_atom_site_fract_x
_atom_site_fract_y
_atom_site_fract_z
_atom_site_occupancy
Na1 Na 0.000 0.000 0.000 1
Si1 Si 0.500 0.500 0.000 1
Pt1 Pt 0.000 0.500 0.500 1
Rh1 Rh 0.500 0.500 0.500 1
# Formation energy (no corrections) = 0.5149 eV/atom
# Crystal system = tetragonal

***

Entry 6:
# NaRu3Pt (GGA-PBE, relaxed)
data_NaRu3Pt
_chemical_formula_sum 'Na1 Ru3 Pt1'
_cell_length_a 4.365
_cell_length_b 4.365
_cell_length_c 4.365
_cell_angle_alpha 90.00
_cell_angle_beta 90.00
_cell_angle_gamma 90.00
_space_group_name_H-M_alt 'P m -3 m'
_space_group_IT_number 221
_space_group_name_Hall '-P 4 2 3'
loop_
_atom_site_label
_atom_site_type_symbol
_atom_site_fract_x
_atom_site_fract_y
_atom_site_fract_z
_atom_site_occupancy
Na1 Na 0.000 0.000 0.000 1
Ru1 Ru 0.000 0.000 0.500 1
Pt1 Pt 0.500 0.500 0.500 1
# Calculated formation energy = 2311 meV per atom
# Energy relative to the lowest polymorph listed for this composition = 655 meV per atom
# Crystal system = cubic

***

Entry 7:
# NaRu3Pt (GGA-PBE, relaxed)
data_NaRu3Pt
_chemical_formula_sum 'Na1 Ru3 Pt1'
_cell_length_a 4.876
_cell_length_b 4.876
_cell_length_c 4.876
_cell_angle_alpha 90.00
_cell_angle_beta 90.00
_cell_angle_gamma 90.00
_space_group_name_H-M_alt 'P m -3 m'
_space_group_IT_number 221
_space_group_name_Hall '-P 4 2 3'
loop_
_atom_site_label
_atom_site_type_symbol
_atom_site_fract_x
_atom_site_fract_y
_atom_site_fract_z
_atom_site_occupancy
Na1 Na 0.000 0.000 0.000 1
Ru1 Ru 0.000 0.500 0.500 1
Pt1 Pt 0.500 0.500 0.500 1
# Calculated formation energy = 1656 meV per atom
# Energy relative to the lowest polymorph listed for this composition = 0 meV per atom
# Crystal system = cubic

***

Entry 8:
# Na3RuPt (GGA-PBE, relaxed)
data_Na3RuPt
_chemical_formula_sum 'Na3 Ru1 Pt1'
_cell_length_a 5.350
_cell_length_b 5.350
_cell_length_c 5.350
_cell_angle_alpha 90.00
_cell_angle_beta 90.00
_cell_angle_gamma 90.00
_space_group_name_H-M_alt 'P m -3 m'
_space_group_IT_number 221
_space_group_name_Hall '-P 4 2 3'
loop_
_atom_site_label
_atom_site_type_symbol
_atom_site_fract_x
_atom_site_fract_y
_atom_site_fract_z
_atom_site_occupancy
Na1 Na 0.000 0.000 0.500 1
Ru1 Ru 0.500 0.500 0.500 1
Pt1 Pt 0.000 0.000 0.000 1
# Calculated formation energy = 1087 meV per atom
# Energy relative to the lowest polymorph listed for this composition = 0 meV per atom
# Crystal system = cubic